Record 1
Computed, not measured: crystalline Eu2UIr at its relaxed geometry at the PBE level of DFT.

Values from the calculation:
Energy, eV per atom: -9.465
Size of the total moment, μB/f.u.: 12.461

extended XYZ file:
```
4
Lattice="-0.6084 3.0404 -0.0489 -2.1250 1.1871 1.9213 7.2893 3.1782 8.6010" Properties=species:S:1:pos:R:3 pbc="T T T"
Eu 4.1678 4.1106 7.0751
Eu 0.3880 3.2952 3.3984
Ir 2.2779 3.7029 5.2367
U 0.0000 0.0000 0.0000
```

***

Record 2
Computed, not measured: crystalline BaSrTc2 at its relaxed geometry at the PBE level of DFT.

Values from the calculation:
ΔE to the lowest computed polymorph, meV per atom: 1264
Size of the total moment, μB/f.u.: 4.914

extended XYZ file:
```
8
Lattice="8.4889 0.0000 0.0000 0.0000 8.4889 0.0000 4.2444 4.2444 3.1127" Properties=species:S:1:pos:R:3 pbc="T T T"
Sr 4.2444 4.2444 0.0000
Sr 4.2444 8.4889 1.5564
Ba 0.0000 0.0000 0.0000
Ba 8.4889 4.2444 1.5564
Tc 6.3712 2.1222 0.7782
Tc 2.1177 6.3667 0.7782
Tc 6.3667 6.3622 2.3345
Tc 10.6111 10.6156 2.3345
```

***

Record 3
Computed, not measured: crystalline Ho3In4Pt4 at its relaxed geometry at the PBE level of DFT.

Values from the calculation:
Energy, eV per atom: -5.312
Size of the total moment, μB/f.u.: 0.000

extended XYZ file:
```
11
Lattice="3.6441 0.0000 -0.9065 -0.9731 6.9267 -3.9119 0.3335 0.5603 9.1185" Properties=species:S:1:pos:R:3 pbc="T T T"
Ho 0.3569 0.8605 1.4349
Ho 2.6475 6.6265 2.8653
Ho -0.4865 3.4633 -1.9559
In 1.3024 1.3356 5.2358
In 2.0807 3.4557 0.5868
In 1.7020 6.1514 -0.9356
In 0.9237 4.0313 3.7134
Pt 0.3324 5.4376 1.3361
Pt 2.6721 2.0493 2.9640
Pt 1.0462 5.5224 -3.5720
Pt 1.6248 1.4043 -1.2463
```

***

Record 4
Computed, not measured: crystalline IrRh4Se at its relaxed geometry at the PBE level of DFT.

Values from the calculation:
Formation energy (no corrections), eV/atom: 0.673
Size of the total moment, μB/f.u.: 0.004

extended XYZ file:
```
6
Lattice="0.0000 3.6210 3.6210 3.6210 0.0000 3.6210 3.6210 3.6210 0.0000" Properties=species:S:1:pos:R:3 pbc="T T T"
Ir 0.0000 0.0000 0.0000
Rh 2.7109 4.5311 4.5311
Rh 4.5311 4.5311 2.7109
Rh 4.5311 2.7109 4.5311
Rh 2.7109 2.7109 2.7109
Se 5.4315 5.4315 5.4315
```

***

Record 5
Computed, not measured: crystalline Y2CoRe at its relaxed geometry at the PBE level of DFT.

Values from the calculation:
Energy, eV per atom: -7.641
Size of the total moment, μB/f.u.: 2.051

extended XYZ file:
```
4
Lattice="-0.0532 -0.4598 4.7526 2.7457 -3.2869 2.1115 3.7902 1.3497 2.5718" Properties=species:S:1:pos:R:3 pbc="T T T"
Co 3.2413 -1.1985 4.7180
Re 4.8620 -1.7978 7.0769
Y 0.0000 0.0000 0.0000
Y 1.6207 -0.5993 2.3590
```

***

Record 6
Computed, not measured: crystalline LiAcSmSe3 at its relaxed geometry at the PBE level of DFT.

Values from the calculation:
Formation energy (no corrections), eV/atom: -1.733
Size of the total moment, μB/f.u.: 0.000

extended XYZ file:
```
12
Lattice="-2.2898 3.0846 -1.6237 -7.3251 -4.1980 2.3549 1.9053 5.2184 7.2267" Properties=species:S:1:pos:R:3 pbc="T T T"
Li -0.0956 3.4709 4.0504
Li -7.6140 0.6341 3.9074
Ac -1.5100 1.1718 1.6774
Ac -6.1996 2.9332 6.2805
Sm -5.1272 -1.1886 2.2942
Sm -2.5824 5.2936 5.6636
Se -8.0596 -0.7754 1.8581
Se 0.3500 4.8804 6.0997
Se -5.4113 0.0374 5.0239
Se -2.2983 4.0676 2.9339
Se -4.5602 1.4168 1.0878
Se -3.1493 2.6882 6.8700
```